1.
CdS2Cl, relaxed, DFT PBE; crystal system = tetragonal; DOS(E_F) = 0.181 states/eV per atom; ΔE to the lowest computed polymorph = 712.8 meV/atom; size of the total moment = 0.0 μB per formula unit; uncorrected energy = -19.3 eV for the cell shown; ΔE_f (raw) = 347 meV/atom
1.0
-3.018 1.112 4.315
3.057 -3.275 2.982
4.339 4.412 5.254
Cd S Cl
2 4 2
Cartesian
0.670 2.221 6.608 Cd
0.000 0.000 0.000 Cd
3.287 2.478 6.694 S
-0.402 1.382 4.358 S
3.270 1.435 10.307 S
2.600 -0.798 3.742 S
3.708 0.028 5.942 Cl
0.020 -1.082 3.648 Cl


2.
InCoW2, relaxed, DFT PBE; crystal system = trigonal; DOS(E_F) = 0.771 states/eV per atom; size of the total moment = 0.3 μB per formula unit; uncorrected energy = -33.9 eV for the cell shown; energy of formation from the pure elements = 0.4511 eV/atom
1.0
-1.094 -2.348 8.832
-3.152 -3.975 7.680
-0.451 -4.927 7.761
Co W In
1 2 1
Cartesian
-2.370 -5.675 12.245 Co
-1.138 -2.724 5.878 W
-4.683 -11.214 24.195 W
-3.554 -8.511 18.363 In